[1]
The following is a DFT calculation (GGA-PBEsol) of an optimized crystal structure of BaZrPt2.

extended XYZ file:
```
4
Lattice="-1.473 1.964 -1.936 -2.400 -4.075 -2.307 -3.972 0.399 3.427" Properties=species:S:1:pos:R:3 pbc="T T T"
Ba -0.737 0.982 -0.968
Pt -1.986 0.200 1.714
Pt -1.200 -2.037 -1.153
Zr -3.923 -0.856 -0.408
```

The value obtained for the energy is -6.70 eV/atom. The calculation puts the theoretical density at 11.87 g/cm3. As for the crystal system: tetragonal. Its energy relative to the lowest polymorph listed for this composition is 376.6 meV/atom. The formation energy is -0.41 eV per atom. The density of states at the Fermi level comes out at 2.95 states/eV per cell.

[2]
The following is a DFT calculation (GGA-PBEsol) of an optimized crystal structure of BaZrPt2.

extended XYZ file:
```
4
Lattice="-2.982 0.949 -3.670 1.227 -1.257 -4.492 -2.320 -3.602 -2.215" Properties=species:S:1:pos:R:3 pbc="T T T"
Ba -2.037 -1.955 -5.188
Pt 0.000 0.000 0.000
Pt -3.056 -2.933 -7.782
Zr -1.019 -0.978 -2.594
```

The value obtained for the energy is -6.46 eV/atom. The calculation puts the theoretical density at 12.95 g/cm3. As for the crystal system: cubic. Its energy relative to the lowest polymorph listed for this composition is 614.6 meV/atom. The formation energy is -0.17 eV per atom. The density of states at the Fermi level comes out at 2.95 states/eV per cell.

[3]
The following is a DFT calculation (GGA-PBEsol) of an optimized crystal structure of Rb2BaZrRh.

extended XYZ file:
```
5
Lattice="-4.107 -1.848 -1.340 -1.264 -1.818 6.380 -3.027 5.937 1.093" Properties=species:S:1:pos:R:3 pbc="T T T"
Rb -1.514 2.968 0.546
Rb -0.632 -0.909 3.190
Rh -2.054 -0.924 -0.670
Ba -4.199 1.135 3.066
Zr 0.000 0.000 0.000
```

The value obtained for the energy is -3.49 eV/atom. The calculation puts the theoretical density at 3.89 g/cm3. As for the crystal system: tetragonal. The formation energy is 0.80 eV per atom. The density of states at the Fermi level comes out at 5.74 states/eV per cell.

[4]
The following is a DFT calculation (GGA-PBEsol) of an optimized crystal structure of Rb3BaRu.

extended XYZ file:
```
5
Lattice="-0.654 -5.381 3.518 -1.994 -3.192 -5.252 6.111 -1.617 -1.338" Properties=species:S:1:pos:R:3 pbc="T T T"
Ru 0.000 0.000 0.000
Ba 1.732 -5.095 -1.536
Rb -0.997 -1.596 -2.626
Rb 3.056 -0.808 -0.669
Rb -0.327 -2.690 1.759
```

The value obtained for the energy is -1.99 eV/atom. The calculation puts the theoretical density at 3.05 g/cm3. As for the crystal system: cubic. The formation energy is 1.09 eV per atom. The density of states at the Fermi level comes out at 4.06 states/eV per cell.

[5]
The following is a DFT calculation (GGA-PBEsol) of an optimized crystal structure of Rb2BaSbRu.

extended XYZ file:
```
5
Lattice="5.111 0.000 0.000 0.000 6.086 0.000 0.000 0.000 6.086" Properties=species:S:1:pos:R:3 pbc="T T T"
Sb 2.555 0.000 0.000
Ba 2.555 3.043 3.043
Rb 0.000 0.000 3.043
Rb 0.000 3.043 0.000
Ru 0.000 0.000 0.000
```

The value obtained for the energy is -3.33 eV/atom. The calculation puts the theoretical density at 4.66 g/cm3. As for the crystal system: tetragonal. The density of states at the Fermi level comes out at 4.81 states/eV per cell.

[6]
The following is a DFT calculation (GGA-PBEsol) of an optimized crystal structure of RbBaTaS4.

extended XYZ file:
```
28
Lattice="-4.995 1.566 -4.562 -2.132 -9.053 -0.775 -8.134 1.120 9.291" Properties=species:S:1:pos:R:3 pbc="T T T"
S -9.262 -1.362 7.031
S -7.455 -0.130 0.191
S -7.806 -6.236 3.763
S -5.999 -5.004 -3.077
S -5.650 -3.555 2.323
S -11.204 2.081 5.054
S -4.057 -8.448 -1.100
S -9.611 -2.812 1.631
S -4.562 -1.883 -1.066
S -8.222 -0.151 3.795
S -9.414 -5.471 -2.010
S -8.324 -5.228 7.189
S -10.699 -4.483 5.020
S -7.039 -6.216 0.159
S -5.847 -0.896 5.964
S -6.937 -1.139 -3.235
Ba -7.756 -3.194 4.753
Ba -5.208 1.184 -1.819
Ba -10.053 -7.551 5.772
Ba -7.506 -3.173 -0.799
Rb -4.891 -0.376 2.583
Rb -11.943 -1.101 4.771
Rb -3.319 -5.266 -0.817
Rb -10.370 -5.991 1.370
Ta -2.381 -1.603 -0.586
Ta -9.031 -0.621 1.748
Ta -6.230 -5.746 2.206
Ta -12.880 -4.764 4.540
```

The value obtained for the energy is -6.22 eV/atom. The calculation puts the theoretical density at 4.40 g/cm3. As for the crystal system: orthorhombic. The density of states at the Fermi level comes out at 0.00 states/eV per cell.

[7]
The following is a DFT calculation (GGA-PBEsol) of an optimized crystal structure of RbBaSb.

extended XYZ file:
```
12
Lattice="-0.900 -5.275 -1.999 4.249 -3.472 7.251 -8.851 -0.385 5.002" Properties=species:S:1:pos:R:3 pbc="T T T"
Sb -7.736 -5.067 4.611
Sb -2.602 -2.448 3.551
Sb 2.235 -4.066 5.644
Sb -2.899 -6.685 6.703
Ba -5.208 -7.225 9.170
Ba -1.096 -3.771 6.365
Ba -0.294 -1.907 1.085
Ba -4.405 -5.362 3.890
Rb 0.707 -7.509 7.255
Rb -5.289 -3.413 7.306
Rb -6.209 -1.624 3.000
Rb -0.213 -5.720 2.948
```

The value obtained for the energy is -3.34 eV/atom. The calculation puts the theoretical density at 4.33 g/cm3. As for the crystal system: orthorhombic.

[8]
The following is a DFT calculation (GGA-PBEsol) of an optimized crystal structure of RbBa2Sb2.

extended XYZ file:
```
10
Lattice="-3.316 -2.050 0.248 3.030 -5.810 -7.510 4.310 -6.182 6.522" Properties=species:S:1:pos:R:3 pbc="T T T"
Sb 1.731 -6.132 3.219
Sb 3.952 -10.050 0.533
Sb 2.293 -7.911 -3.959
Sb 0.072 -3.993 -1.273
Ba 4.878 -7.540 2.894
Ba 5.350 -8.949 -2.439
Ba 2.462 -4.452 -3.882
Ba 1.990 -3.043 1.451
Rb 0.000 0.000 0.000
Rb 3.670 -5.996 -0.494
```

The value obtained for the energy is -3.69 eV/atom. The calculation puts the theoretical density at 5.17 g/cm3. As for the crystal system: tetragonal. The density of states at the Fermi level comes out at 2.32 states/eV per cell.